Record 1
The following is a PBE-GGA calculation of a geometry-optimized ZrH2PtSe structure, from the Alexandria database.

Summary:
total moment = 0.000 Bohr magnetons per cell
mass density = 7.684 g/cm3
DOS at the Fermi energy = 2.33 states/eV per cell
energy = -4.65 eV per atom

Geometry as CIF:
```
data_ZrH2PtSe
_chemical_formula_sum 'Zr1 H2 Pt1 Se1'
_symmetry_space_group_name_H-M 'P 4/m m m'
_symmetry_Int_Tables_number 123
_symmetry_space_group_name_Hall '-P 4 2'
_cell_length_a 3.764
_cell_length_b 3.764
_cell_length_c 5.602
_cell_angle_alpha 90.00
_cell_angle_beta 90.00
_cell_angle_gamma 90.00
loop_
_atom_site_label
_atom_site_fract_x
_atom_site_fract_y
_atom_site_fract_z
Zr1 0.000 0.000 0.000
H1 0.000 0.500 0.500
Pt1 0.500 0.500 0.000
Se1 0.500 0.500 0.500
```

Record 2
The following is a PBE-GGA calculation of a geometry-optimized Ca2AlSnN structure, from the Alexandria database.

Summary:
total moment = 0.000 Bohr magnetons per cell
mass density = 3.907 g/cm3
DOS at the Fermi energy = 2.00 states/eV per cell
energy = -4.69 eV per atom

Geometry as CIF:
```
data_Ca2AlSnN
_chemical_formula_sum 'Ca2 Al1 Sn1 N1'
_symmetry_space_group_name_H-M 'P 4/m m m'
_symmetry_Int_Tables_number 123
_symmetry_space_group_name_Hall '-P 4 2'
_cell_length_a 5.136
_cell_length_b 5.136
_cell_length_c 3.865
_cell_angle_alpha 90.00
_cell_angle_beta 90.00
_cell_angle_gamma 90.00
loop_
_atom_site_label
_atom_site_fract_x
_atom_site_fract_y
_atom_site_fract_z
Ca1 0.000 0.500 0.000
Al1 0.000 0.000 0.500
Sn1 0.500 0.500 0.500
N1 0.000 0.000 0.000
```

Record 3
The following is a PBE-GGA calculation of a geometry-optimized TlSnAu structure, from the Alexandria database.

Summary:
total moment = 0.000 Bohr magnetons per cell
mass density = 10.558 g/cm3
DOS at the Fermi energy = 7.76 states/eV per cell
energy = -3.30 eV per atom
ΔE_f = -0.087 eV/atom

Geometry as CIF:
```
data_TlSnAu
_chemical_formula_sum 'Tl6 Sn6 Au6'
_symmetry_space_group_name_H-M 'R -3 m'
_symmetry_Int_Tables_number 166
_symmetry_space_group_name_Hall '-R 3 2"'
_cell_length_a 4.7826
_cell_length_b 4.7826
_cell_length_c 24.7758
_cell_angle_alpha 90.00
_cell_angle_beta 90.00
_cell_angle_gamma 120.00
loop_
_atom_site_label
_atom_site_fract_x
_atom_site_fract_y
_atom_site_fract_z
Tl1 0.0000 0.0000 0.1297
Sn1 0.0000 0.0000 0.3760
Au1 0.0000 0.0000 0.2614
```

Record 4
The following is a PBE-GGA calculation of a geometry-optimized Cs12RbAu6 structure, from the Alexandria database.

Summary:
ΔE to the lowest computed polymorph = 0.000 eV per atom
total moment = 0.000 Bohr magnetons per cell
mass density = 3.803 g/cm3
DOS at the Fermi energy = 20.49 states/eV per cell
energy = -1.85 eV per atom
ΔE_f = -0.225 eV/atom

Geometry as CIF:
```
data_Cs12RbAu6
_chemical_formula_sum 'Cs24 Rb2 Au12'
_symmetry_space_group_name_H-M 'I m -3'
_symmetry_Int_Tables_number 204
_symmetry_space_group_name_Hall '-I 2 2 3'
_cell_length_a 13.570
_cell_length_b 13.570
_cell_length_c 13.570
_cell_angle_alpha 90.00
_cell_angle_beta 90.00
_cell_angle_gamma 90.00
loop_
_atom_site_label
_atom_site_fract_x
_atom_site_fract_y
_atom_site_fract_z
Cs1 0.000 0.180 0.331
Rb1 0.000 0.000 0.000
Au1 0.000 0.392 0.500
```

Record 5
The following is a PBE-GGA calculation of a geometry-optimized CsRbNa2I4 structure, from the Alexandria database.

Summary:
total moment = 0.000 Bohr magnetons per cell
mass density = 3.598 g/cm3
DOS at the Fermi energy = 0.00 states/eV per cell
energy = -2.69 eV per atom

Geometry as CIF:
```
data_CsRbNa2I4
_chemical_formula_sum 'Cs1 Rb1 Na2 I4'
_symmetry_space_group_name_H-M 'P 1 2/m 1'
_symmetry_Int_Tables_number 10
_symmetry_space_group_name_Hall '-P 2y'
_cell_length_a 8.594
_cell_length_b 4.955
_cell_length_c 8.845
_cell_angle_alpha 90.00
_cell_angle_beta 108.97
_cell_angle_gamma 90.00
loop_
_atom_site_label
_atom_site_fract_x
_atom_site_fract_y
_atom_site_fract_z
Cs1 0.000 0.000 0.000
Rb1 0.500 0.500 0.000
Na1 0.000 0.500 0.500
Na2 0.500 0.000 0.500
I1 0.243 0.000 0.712
I2 0.271 0.500 0.293
```

Record 6
The following is a PBE-GGA calculation of a geometry-optimized Cs3Tl3Sn2 structure, from the Alexandria database.

Summary:
total moment = 0.000 Bohr magnetons per cell
mass density = 5.891 g/cm3
DOS at the Fermi energy = 13.67 states/eV per cell
energy = -2.36 eV per atom
ΔE_f = -0.154 eV/atom

Geometry as CIF:
```
data_Cs3Tl3Sn2
_chemical_formula_sum 'Cs12 Tl12 Sn8'
_symmetry_space_group_name_H-M 'C m c m'
_symmetry_Int_Tables_number 63
_symmetry_space_group_name_Hall '-C 2c 2'
_cell_length_a 5.295
_cell_length_b 14.492
_cell_length_c 18.356
_cell_angle_alpha 90.00
_cell_angle_beta 90.00
_cell_angle_gamma 90.00
loop_
_atom_site_label
_atom_site_fract_x
_atom_site_fract_y
_atom_site_fract_z
Cs1 0.000 0.064 0.105
Cs2 0.000 0.383 0.250
Tl1 0.000 0.325 0.750
Tl2 0.000 0.346 0.033
Sn1 0.000 0.222 0.606
```

Record 7
The following is a PBE-GGA calculation of a geometry-optimized Tc2Os structure, from the Alexandria database.

Summary:
ΔE to the lowest computed polymorph = 0.000 eV per atom
total moment = 0.000 Bohr magnetons per cell
mass density = 14.801 g/cm3
DOS at the Fermi energy = 10.61 states/eV per cell
energy = -10.72 eV per atom
ΔE_f = -0.064 eV/atom

Geometry as CIF:
```
data_Tc2Os
_chemical_formula_sum 'Tc8 Os4'
_symmetry_space_group_name_H-M 'P n m a'
_symmetry_Int_Tables_number 62
_symmetry_space_group_name_Hall '-P 2ac 2n'
_cell_length_a 4.776
_cell_length_b 4.368
_cell_length_c 8.308
_cell_angle_alpha 90.00
_cell_angle_beta 90.00
_cell_angle_gamma 90.00
loop_
_atom_site_label
_atom_site_fract_x
_atom_site_fract_y
_atom_site_fract_z
Tc1 0.164 0.250 0.166
Tc2 0.167 0.250 0.502
Os1 0.170 0.250 0.832
```

Record 8
The following is a PBE-GGA calculation of a geometry-optimized Tb2NdHg structure, from the Alexandria database.

Summary:
ΔE to the lowest computed polymorph = 0.000 eV per atom
total moment = 0.000 Bohr magnetons per cell
mass density = 9.208 g/cm3
DOS at the Fermi energy = 4.84 states/eV per cell
energy = -3.82 eV per atom
ΔE_f = -0.233 eV/atom

Geometry as CIF:
```
data_Tb2NdHg
_chemical_formula_sum 'Tb2 Nd1 Hg1'
_symmetry_space_group_name_H-M 'P 4/m m m'
_symmetry_Int_Tables_number 123
_symmetry_space_group_name_Hall '-P 4 2'
_cell_length_a 3.667
_cell_length_b 3.667
_cell_length_c 8.885
_cell_angle_alpha 90.00
_cell_angle_beta 90.00
_cell_angle_gamma 90.00
loop_
_atom_site_label
_atom_site_fract_x
_atom_site_fract_y
_atom_site_fract_z
Tb1 0.000 0.000 0.217
Nd1 0.500 0.500 0.500
Hg1 0.500 0.500 0.000
```